Compound: KNa2F4
Source: the Alexandria database
Functional: PBE
Structure: relaxed

Cell and atoms, written as extended XYZ:
```
14
Lattice="-5.068 3.933 1.840 -1.495 -2.720 -5.907 0.950 -4.790 4.551" Properties=species:S:1:pos:R:3 pbc="T T T"
F -1.922 -0.184 1.788
Na -3.490 0.240 0.072
K -1.913 -3.452 -1.695
F -4.699 1.329 1.730
Na -3.016 -2.154 2.348
F -1.150 -3.132 3.420
F -3.296 -0.469 3.921
Na -4.238 -1.120 -2.881
F -5.059 0.665 -1.643
K -5.068 3.933 1.840
Na -0.482 -4.120 1.428
F -2.735 -3.839 0.775
F -2.282 -0.848 -1.585
F -4.881 -1.177 1.276
```

Properties
**Space group**: I4_1/amd
**Uncorrected formation energy**: -2.309 eV per atom
**Crystal system**: tetragonal

Compound: Gd3Sc2S7
Source: the Alexandria database
Functional: PBE
Structure: relaxed

Cell and atoms, written as extended XYZ:
```
12
Lattice="6.513 0.003 0.018 5.414 3.621 0.018 2.889 0.878 11.065" Properties=species:S:1:pos:R:3 pbc="T T T"
Sc 11.828 3.594 4.784
S 10.599 3.220 7.064
S 10.634 3.231 10.478
S 7.408 2.251 5.550
Gd 8.878 2.697 2.284
S 13.807 4.195 8.608
S 4.218 1.281 4.036
Gd 5.939 1.804 8.816
S 4.182 1.271 0.622
S 1.010 0.307 2.492
Gd 0.000 0.000 0.000
Sc 2.988 0.908 6.315
```

Properties
**Space group**: C2/m
**Uncorrected formation energy**: -2.026 eV per atom
**Crystal system**: monoclinic

Compound: La2Zn2Os
Source: the Alexandria database
Functional: PBE
Structure: relaxed

Cell and atoms, written as extended XYZ:
```
10
Lattice="3.941 0.003 0.741 1.980 5.771 0.285 -0.016 -0.011 10.915" Properties=species:S:1:pos:R:3 pbc="T T T"
Zn 1.745 0.730 1.560
La 2.683 4.612 7.398
Os 3.352 4.895 3.841
La 1.732 4.017 1.607
Os 2.554 0.868 8.099
Zn 4.161 5.033 10.381
Zn 5.098 3.748 5.405
Zn 0.807 2.015 6.536
La 3.223 1.151 4.543
La 4.174 1.746 10.334
```

Properties
**DFT formation energy**: -0.238 eV per atom
**Space group**: C2/m
**ΔE to the lowest computed polymorph**: 0 meV/atom
**Crystal system**: monoclinic

Compound: ScBeTe2I
Source: the Alexandria database
Functional: PBE
Structure: relaxed

Cell and atoms, written as extended XYZ:
```
5
Lattice="5.074 0.000 0.000 0.000 5.074 0.000 0.000 0.000 5.152" Properties=species:S:1:pos:R:3 pbc="T T T"
Sc 2.537 2.537 2.576
Be 0.000 0.000 0.000
I 0.000 0.000 2.576
Te 0.000 2.537 0.000
Te 2.537 0.000 0.000
```

Properties
**Space group**: P4/mmm
**Uncorrected formation energy**: 0.030 eV per atom
**ΔE to the lowest computed polymorph**: 0 meV/atom
**Crystal system**: tetragonal

Compound: RbGe12Pt4
Source: the Alexandria database
Functional: PBE
Structure: relaxed

Cell and atoms, written as extended XYZ:
```
17
Lattice="-6.117 0.251 4.537 3.863 -6.438 1.299 4.484 5.989 1.448" Properties=species:S:1:pos:R:3 pbc="T T T"
Ge -2.904 -0.854 4.606
Rb 0.000 0.000 0.000
Ge -1.394 3.086 4.743
Ge 2.419 3.859 3.105
Ge 3.152 -1.478 4.273
Pt 2.242 2.994 0.724
Ge 0.464 -2.266 2.489
Ge -0.488 -0.984 5.401
Ge -0.922 1.280 3.010
Pt 1.932 -3.219 0.650
Ge 3.624 -3.284 2.541
Ge -0.189 -4.057 4.179
Pt 1.115 -0.099 3.642
Pt -3.059 0.126 2.268
Ge 5.134 0.655 2.678
Ge 2.718 0.785 1.882
Ge 1.766 2.068 4.794
```

Properties
**DFT formation energy**: -0.253 eV per atom
**Space group**: Im-3
**Crystal system**: cubic

Compound: NaCdSeBr2
Source: the Alexandria database
Functional: PBE
Structure: relaxed

Cell and atoms, written as extended XYZ:
```
5
Lattice="5.635 0.000 0.000 0.000 5.635 0.000 0.000 0.000 5.282" Properties=species:S:1:pos:R:3 pbc="T T T"
Na 2.818 2.818 2.641
Br 0.000 2.818 0.000
Se 0.000 0.000 2.641
Br 2.818 0.000 0.000
Cd 0.000 0.000 0.000
```

Properties
**Space group**: P4/mmm
**Uncorrected formation energy**: -0.557 eV per atom
**ΔE to the lowest computed polymorph**: 0 meV/atom
**Crystal system**: tetragonal